Entry from the Alexandria database: a geometry-optimized TaNbZnSb2 structure (PBE-GGA).

Output
Formation energy without anion corrections: 1067.6 meV/atom
Raw total energy: -5.221 eV/atom
Density of states at the Fermi level: 4.432 states/eV per cell
Symmetry: No. 123

Cell: 5.2850 5.2850 4.9665 Å, 90.00 90.00 90.00°
Fractional coordinates of all 5 atoms:
Ta 0.0000 0.0000 0.0000
Nb 0.5000 0.5000 0.5000
Zn 0.0000 0.0000 0.5000
Sb 0.0000 0.5000 0.0000
Sb 0.5000 0.0000 0.0000